Record 1
Below is an optimized crystal structure of TlZn2F8, with properties calculated at the GGA-PBE level.

a = 9.7627 Å, b = 7.0655 Å, c = 4.4236 Å
α = 90.00°, β = 90.04°, γ = 90.00°
Space group C2/m (No. 12)
One atom of each set of equivalent atoms:
Tl: 0.0000 0.0000 0.0000
Zn: 0.1179 0.5000 0.7492
F: 0.0848 0.5000 0.2520
F: 0.1113 0.2233 0.7581
F: 0.1856 0.0000 0.2780

Summary:
E_tot (eV per formula unit): -40.18
Formation energy without anion corrections (eV per atom): -1.8454
Volume (Å³ per atom): 13.87

Record 2
Below is an optimized crystal structure of Tl2Zn2F5, with properties calculated at the GGA-PBE level.

a = 12.4724 Å, b = 3.7181 Å, c = 7.5234 Å
α = 90.00°, β = 91.98°, γ = 90.00°
Space group C2/m (No. 12)
One atom of each set of equivalent atoms:
Tl: 0.1108 0.0000 0.3865
Zn: 0.1471 0.5000 0.9131
F: 0.0000 0.5000 0.0000
F: 0.1760 0.5000 0.6635
F: 0.1767 0.0000 0.0149

Summary:
E_tot (eV per formula unit): -33.05
Polymorph energy (0 for the lowest one) (meV/atom): 0.0
Formation energy without anion corrections (eV per atom): -1.8234
Volume (Å³ per atom): 19.37

Record 3
Below is an optimized crystal structure of Tl2ZnF, with properties calculated at the GGA-PBE level.

a = 7.0787 Å, b = 7.0787 Å, c = 7.0787 Å
α = 90.00°, β = 90.00°, γ = 90.00°
Space group Fm-3m (No. 225)
One atom of each set of equivalent atoms:
Tl: 0.2500 0.2500 0.2500
Zn: 0.0000 0.0000 0.0000
F: 0.0000 0.0000 0.5000

Summary:
E_tot (eV per formula unit): -10.13
Polymorph energy (0 for the lowest one) (meV/atom): 0.0
Formation energy without anion corrections (eV per atom): -0.5636
Volume (Å³ per atom): 22.17

Record 4
Below is an optimized crystal structure of Tl3ZnF, with properties calculated at the GGA-PBE level.

a = 5.2466 Å, b = 5.2466 Å, c = 5.2466 Å
α = 90.00°, β = 90.00°, γ = 90.00°
Space group Pm-3m (No. 221)
One atom of each set of equivalent atoms:
Tl: 0.0000 0.0000 0.5000
Zn: 0.5000 0.5000 0.5000
F: 0.0000 0.0000 0.0000

Summary:
E_tot (eV per formula unit): -12.36
Polymorph energy (0 for the lowest one) (meV/atom): 0.0
Formation energy without anion corrections (eV per atom): -0.4235
Volume (Å³ per atom): 28.88